[1]
A relaxed TlReF5 crystal, computed with GGA-PBE.

```
TlReF5
1.0
6.208 -0.094 1.248
1.310 6.069 1.248
0.686 0.545 7.891
Tl Re F
2 2 10
Cartesian
4.368 3.277 7.166 Tl
3.836 3.244 3.221 Tl
1.310 6.069 1.248 Re
6.551 0.179 5.193 Re
2.403 1.433 7.583 F
3.145 5.092 5.493 F
1.595 1.745 3.638 F
6.406 0.713 7.166 F
2.877 4.878 8.840 F
5.327 1.643 1.547 F
1.797 5.808 3.221 F
6.608 4.776 6.749 F
5.058 1.429 4.894 F
5.801 5.088 2.803 F
```

Results
Formation energy without anion corrections: -1.9703 eV/atom
Symmetry: C2/c (15)
Crystal system: monoclinic



[2]
A relaxed LiC3F crystal, computed with GGA-PBE.

```
LiC3F
1.0
3.702 0.000 0.000
0.000 3.702 0.000
0.000 0.000 3.702
C Li F
3 1 1
Cartesian
0.000 1.851 0.000 C
0.000 0.000 1.851 C
1.851 0.000 0.000 C
0.000 0.000 0.000 Li
1.851 1.851 1.851 F
```

Results
Formation energy without anion corrections: 3.0630 eV/atom
Symmetry: Pm-3m (221)
Distance to the lowest polymorph of the same formula: 65 meV per atom
Crystal system: cubic



[3]
A relaxed Mn2AsP crystal, computed with GGA-PBE.

```
Mn2AsP
1.0
-3.186 -2.744 4.041
0.561 -4.937 3.054
2.452 4.913 -1.964
As Mn P
1 2 1
Cartesian
0.739 -2.258 2.619 As
-2.555 -7.473 6.904 Mn
-0.873 -0.395 2.406 Mn
-1.423 -4.162 3.844 P
```

Results
Symmetry: Imm2 (44)
ΔH_f (0 K): -0.2615 eV per atom
Crystal system: orthorhombic